(1)
# PBE Sm4CuIr3, optimized geometry
data_Sm4CuIr3
_chemical_formula_sum 'Sm4 Cu1 Ir3'
_symmetry_space_group_name_H-M 'P 1'
_symmetry_Int_Tables_number 1
_cell_length_a 3.958
_cell_length_b 4.314
_cell_length_c 10.719
_cell_angle_alpha 90.00
_cell_angle_beta 90.00
_cell_angle_gamma 90.00
loop_
_symmetry_equiv_pos_as_xyz
'x,y,z'
loop_
_atom_site_label
_atom_site_fract_x
_atom_site_fract_y
_atom_site_fract_z
Sm1 0.000 0.000 0.000
Sm2 0.000 0.500 0.278
Sm3 0.500 0.000 0.489
Sm4 0.500 0.500 0.776
Cu1 0.000 0.000 0.705
Ir1 0.000 0.500 0.566
Ir2 0.500 0.000 0.218
Ir3 0.500 0.500 0.047
# Calculated formation energy ... -0.605 eV/atom
# Energy ... -6.80 eV per atom
# DOS at the Fermi energy ... 4.545 states/eV/f.u.
# Space-group type ... Pmm2, No. 25
# Total magnetic moment ... 0.0 Bohr magnetons per cell
# Mass density ... 11.27 g cm⁻³

***

(2)
# PBE Sm2Cu2Ir, optimized geometry
data_Sm2Cu2Ir
_chemical_formula_sum 'Sm4 Cu4 Ir2'
_symmetry_space_group_name_H-M 'P 1'
_symmetry_Int_Tables_number 1
_cell_length_a 5.515
_cell_length_b 5.515
_cell_length_c 10.981
_cell_angle_alpha 112.56
_cell_angle_beta 112.56
_cell_angle_gamma 43.92
loop_
_symmetry_equiv_pos_as_xyz
'x,y,z'
loop_
_atom_site_label
_atom_site_fract_x
_atom_site_fract_y
_atom_site_fract_z
Sm1 0.024 0.024 0.345
Sm2 0.200 0.200 0.124
Sm3 0.800 0.800 0.876
Sm4 0.976 0.976 0.655
Cu1 0.361 0.361 0.446
Cu2 0.483 0.483 0.108
Cu3 0.517 0.517 0.892
Cu4 0.639 0.639 0.554
Ir1 0.280 0.280 0.678
Ir2 0.720 0.720 0.322
# Calculated formation energy ... -0.386 eV/atom
# Energy ... -5.68 eV per atom
# DOS at the Fermi energy ... 3.007 states/eV/f.u.
# Space-group type ... C2/m, No. 12
# Total magnetic moment ... 0.0 Bohr magnetons per cell
# Mass density ... 9.76 g cm⁻³

***

(3)
# PBE Sm6Cu2Ir, optimized geometry
data_Sm6Cu2Ir
_chemical_formula_sum 'Sm12 Cu4 Ir2'
_symmetry_space_group_name_H-M 'P 1'
_symmetry_Int_Tables_number 1
_cell_length_a 6.687
_cell_length_b 7.388
_cell_length_c 12.169
_cell_angle_alpha 90.00
_cell_angle_beta 121.68
_cell_angle_gamma 90.00
loop_
_symmetry_equiv_pos_as_xyz
'x,y,z'
loop_
_atom_site_label
_atom_site_fract_x
_atom_site_fract_y
_atom_site_fract_z
Sm1 0.090 0.186 0.430
Sm2 0.090 0.314 0.930
Sm3 0.250 0.677 0.426
Sm4 0.250 0.823 0.926
Sm5 0.398 0.039 0.246
Sm6 0.398 0.461 0.746
Sm7 0.602 0.539 0.254
Sm8 0.602 0.961 0.754
Sm9 0.750 0.177 0.074
Sm10 0.750 0.323 0.574
Sm11 0.910 0.686 0.070
Sm12 0.910 0.814 0.570
Cu1 0.180 0.112 0.739
Cu2 0.180 0.388 0.239
Cu3 0.820 0.612 0.761
Cu4 0.820 0.888 0.261
Ir1 0.500 0.000 0.500
Ir2 0.500 0.500 0.000
# Calculated formation energy ... -0.213 eV/atom
# Energy ... -5.25 eV per atom
# DOS at the Fermi energy ... 9.754 states/eV/f.u.
# Space-group type ... P2_1/c, No. 14
# Total magnetic moment ... 0.0 Bohr magnetons per cell
# Mass density ... 7.93 g cm⁻³

***

(4)
# PBE Sm7Cu2Ir2, optimized geometry
data_Sm7Cu2Ir2
_chemical_formula_sum 'Sm7 Cu2 Ir2'
_symmetry_space_group_name_H-M 'P 1'
_symmetry_Int_Tables_number 1
_cell_length_a 6.748
_cell_length_b 6.748
_cell_length_c 7.158
_cell_angle_alpha 90.00
_cell_angle_beta 90.00
_cell_angle_gamma 108.42
loop_
_symmetry_equiv_pos_as_xyz
'x,y,z'
loop_
_atom_site_label
_atom_site_fract_x
_atom_site_fract_y
_atom_site_fract_z
Sm1 0.000 0.000 0.000
Sm2 0.000 0.500 0.264
Sm3 0.000 0.500 0.736
Sm4 0.500 0.000 0.264
Sm5 0.500 0.000 0.736
Sm6 0.500 0.500 0.256
Sm7 0.500 0.500 0.744
Cu1 0.170 0.170 0.500
Cu2 0.830 0.830 0.500
Ir1 0.292 0.708 0.000
Ir2 0.708 0.292 0.000
# Calculated formation energy ... -0.227 eV/atom
# Energy ... -5.59 eV per atom
# DOS at the Fermi energy ... 13.010 states/eV/f.u.
# Space-group type ... Cmmm, No. 65
# Total magnetic moment ... 0.0 Bohr magnetons per cell
# Mass density ... 8.40 g cm⁻³

***

(5)
# PBE SmCu2Ir, optimized geometry
data_SmCu2Ir
_chemical_formula_sum 'Sm1 Cu2 Ir1'
_symmetry_space_group_name_H-M 'P 1'
_symmetry_Int_Tables_number 1
_cell_length_a 5.151
_cell_length_b 5.151
_cell_length_c 5.151
_cell_angle_alpha 49.45
_cell_angle_beta 49.45
_cell_angle_gamma 49.45
loop_
_symmetry_equiv_pos_as_xyz
'x,y,z'
loop_
_atom_site_label
_atom_site_fract_x
_atom_site_fract_y
_atom_site_fract_z
Sm1 0.000 0.000 0.000
Cu1 0.206 0.206 0.206
Cu2 0.794 0.794 0.794
Ir1 0.500 0.500 0.500
# Calculated formation energy ... -0.216 eV/atom
# Energy ... -5.66 eV per atom
# DOS at the Fermi energy ... 2.027 states/eV/f.u.
# Space-group type ... R-3m, No. 166
# Total magnetic moment ... 0.0 Bohr magnetons per cell
# Mass density ... 10.76 g cm⁻³

***

(6)
# PBE SrSmCuIr, optimized geometry
data_SrSmCuIr
_chemical_formula_sum 'Sr1 Sm1 Cu1 Ir1'
_symmetry_space_group_name_H-M 'P 1'
_symmetry_Int_Tables_number 1
_cell_length_a 5.058
_cell_length_b 5.058
_cell_length_c 5.058
_cell_angle_alpha 60.00
_cell_angle_beta 60.00
_cell_angle_gamma 60.00
loop_
_symmetry_equiv_pos_as_xyz
'x,y,z'
loop_
_atom_site_label
_atom_site_fract_x
_atom_site_fract_y
_atom_site_fract_z
Sr1 0.000 0.000 0.000
Sm1 0.500 0.500 0.500
Cu1 0.750 0.750 0.750
Ir1 0.250 0.250 0.250
# Calculated formation energy ... -0.212 eV/atom
# Energy ... -5.05 eV per atom
# DOS at the Fermi energy ... 2.573 states/eV/f.u.
# Space-group type ... F-43m, No. 216
# Total magnetic moment ... 0.0 Bohr magnetons per cell
# Mass density ... 8.96 g cm⁻³

***

(7)
# PBE SmYCuIr, optimized geometry
data_SmYCuIr
_chemical_formula_sum 'Sm1 Y1 Cu1 Ir1'
_symmetry_space_group_name_H-M 'P 1'
_symmetry_Int_Tables_number 1
_cell_length_a 4.935
_cell_length_b 4.935
_cell_length_c 4.935
_cell_angle_alpha 60.00
_cell_angle_beta 60.00
_cell_angle_gamma 60.00
loop_
_symmetry_equiv_pos_as_xyz
'x,y,z'
loop_
_atom_site_label
_atom_site_fract_x
_atom_site_fract_y
_atom_site_fract_z
Sm1 0.000 0.000 0.000
Y1 0.500 0.500 0.500
Cu1 0.750 0.750 0.750
Ir1 0.250 0.250 0.250
# Calculated formation energy ... -0.519 eV/atom
# Energy ... -6.55 eV per atom
# DOS at the Fermi energy ... 2.683 states/eV/f.u.
# Space-group type ... F-43m, No. 216
# Total magnetic moment ... 0.0 Bohr magnetons per cell
# Mass density ... 9.67 g cm⁻³

***

(8)
# PBE SmYCuIr, optimized geometry
data_SmYCuIr
_chemical_formula_sum 'Sm1 Y1 Cu1 Ir1'
_symmetry_space_group_name_H-M 'P 1'
_symmetry_Int_Tables_number 1
_cell_length_a 4.358
_cell_length_b 5.600
_cell_length_c 5.600
_cell_angle_alpha 40.74
_cell_angle_beta 90.00
_cell_angle_gamma 90.00
loop_
_symmetry_equiv_pos_as_xyz
'x,y,z'
loop_
_atom_site_label
_atom_site_fract_x
_atom_site_fract_y
_atom_site_fract_z
Sm1 0.000 0.000 0.000
Y1 0.500 0.721 0.721
Cu1 0.500 0.431 0.431
Ir1 0.000 0.282 0.282
# Calculated formation energy ... -0.536 eV/atom
# Energy ... -6.57 eV per atom
# DOS at the Fermi energy ... 3.143 states/eV/f.u.
# Space-group type ... Amm2, No. 38
# Total magnetic moment ... 0.0 Bohr magnetons per cell
# Mass density ... 9.22 g cm⁻³

***

(9)
# PBE SmZn3CuIr, optimized geometry
data_SmZn3CuIr
_chemical_formula_sum 'Sm2 Zn6 Cu2 Ir2'
_symmetry_space_group_name_H-M 'P 1'
_symmetry_Int_Tables_number 1
_cell_length_a 7.063
_cell_length_b 7.063
_cell_length_c 5.458
_cell_angle_alpha 90.00
_cell_angle_beta 90.00
_cell_angle_gamma 129.73
loop_
_symmetry_equiv_pos_as_xyz
'x,y,z'
loop_
_atom_site_label
_atom_site_fract_x
_atom_site_fract_y
_atom_site_fract_z
Sm1 0.216 0.784 0.750
Sm2 0.784 0.216 0.250
Zn1 0.204 0.204 0.000
Zn2 0.204 0.204 0.500
Zn3 0.360 0.640 0.250
Zn4 0.640 0.360 0.750
Zn5 0.796 0.796 0.000
Zn6 0.796 0.796 0.500
Cu1 0.431 0.569 0.750
Cu2 0.569 0.431 0.250
Ir1 0.156 0.844 0.250
Ir2 0.844 0.156 0.750
# Calculated formation energy ... -0.197 eV/atom
# Energy ... -3.78 eV per atom
# DOS at the Fermi energy ... 3.155 states/eV/f.u.
# Space-group type ... Cmcm, No. 63
# Total magnetic moment ... 0.0 Bohr magnetons per cell
# Mass density ... 9.55 g cm⁻³

***

(10)
# PBE Sm2Zn12Cu3Ir, optimized geometry
data_Sm2Zn12Cu3Ir
_chemical_formula_sum 'Sm2 Zn12 Cu3 Ir1'
_symmetry_space_group_name_H-M 'P 1'
_symmetry_Int_Tables_number 1
_cell_length_a 11.854
_cell_length_b 11.854
_cell_length_c 11.854
_cell_angle_alpha 27.75
_cell_angle_beta 27.75
_cell_angle_gamma 27.75
loop_
_symmetry_equiv_pos_as_xyz
'x,y,z'
loop_
_atom_site_label
_atom_site_fract_x
_atom_site_fract_y
_atom_site_fract_z
Sm1 0.142 0.142 0.142
Sm2 0.858 0.858 0.858
Zn1 0.101 0.101 0.641
Zn2 0.101 0.641 0.101
Zn3 0.107 0.611 0.611
Zn4 0.359 0.899 0.899
Zn5 0.389 0.389 0.893
Zn6 0.389 0.893 0.389
Zn7 0.611 0.107 0.611
Zn8 0.611 0.611 0.107
Zn9 0.641 0.101 0.101
Zn10 0.893 0.389 0.389
Zn11 0.899 0.359 0.899
Zn12 0.899 0.899 0.359
Cu1 0.000 0.500 0.500
Cu2 0.500 0.000 0.500
Cu3 0.500 0.500 0.000
Ir1 0.500 0.500 0.500
# Calculated formation energy ... -0.065 eV/atom
# Energy ... -2.61 eV per atom
# DOS at the Fermi energy ... 9.660 states/eV/f.u.
# Space-group type ... R-3m, No. 166
# Total magnetic moment ... 0.0 Bohr magnetons per cell
# Mass density ... 7.65 g cm⁻³

***

- Which of these has the highest energy?
  Sm2Zn12Cu3Ir

***

Repeat the fifth record exactly.
# PBE SmCu2Ir, optimized geometry
data_SmCu2Ir
_chemical_formula_sum 'Sm1 Cu2 Ir1'
_symmetry_space_group_name_H-M 'P 1'
_symmetry_Int_Tables_number 1
_cell_length_a 5.151
_cell_length_b 5.151
_cell_length_c 5.151
_cell_angle_alpha 49.45
_cell_angle_beta 49.45
_cell_angle_gamma 49.45
loop_
_symmetry_equiv_pos_as_xyz
'x,y,z'
loop_
_atom_site_label
_atom_site_fract_x
_atom_site_fract_y
_atom_site_fract_z
Sm1 0.000 0.000 0.000
Cu1 0.206 0.206 0.206
Cu2 0.794 0.794 0.794
Ir1 0.500 0.500 0.500
# Calculated formation energy ... -0.216 eV/atom
# Energy ... -5.66 eV per atom
# DOS at the Fermi energy ... 2.027 states/eV/f.u.
# Space-group type ... R-3m, No. 166
# Total magnetic moment ... 0.0 Bohr magnetons per cell
# Mass density ... 10.76 g cm⁻³

***

- Among the records above, which one has the highest mass density?
  Sm4CuIr3

***

- The lowest energy belongs to which entry?
  Sm4CuIr3